Below is In2AsSe after structural relaxation, with properties calculated at the PBE-GGA level.

Cell: 5.121 5.121 5.121 Å, 60.00 60.00 60.00°
Fractional positions:
1 In 0.000 0.000 0.000
2 In 0.250 0.250 0.250
3 As 0.500 0.500 0.500
4 Se 0.750 0.750 0.750

Properties
Total magnetization, μB/cell: 0.0
Final energy, eV/cell: -12.8
Relative energy among the computed polymorphs, meV per atom: 487
ΔE_f (raw), eV per atom: 0.198